1.
Compound: CaCrAs2
Source: Alexandria
Functional: PBE
Structure: optimized geometry

```
4
Lattice="4.886 0.000 0.000 2.443 4.231 0.000 2.443 1.410 3.989" Properties=species:S:1:pos:R:3 pbc="T T T"
As 0.000 0.000 0.000
As 2.443 1.410 0.997
Cr 7.328 4.231 2.992
Ca 4.886 2.821 1.995
```

Computed properties:
Space group: F-43m
Offset from the most stable computed form in eV/f.u.: 2.88
DFT total energy in eV per atom: -5.0857
Calculated formation energy in meV/atom: 145

2.
Compound: CaCrAs2
Source: Alexandria
Functional: PBE
Structure: optimized geometry

```
4
Lattice="-2.356 2.642 -3.540 -2.049 -4.202 -1.792 -0.470 2.268 4.438" Properties=species:S:1:pos:R:3 pbc="T T T"
Cr -2.360 -1.357 -0.010
As -0.183 -0.065 -0.221
As -2.020 -0.715 -2.445
Ca -2.514 2.065 -0.884
```

Computed properties:
Space group: Immm
Offset from the most stable computed form in eV/f.u.: 0.82
DFT total energy in eV per atom: -5.6008
Calculated formation energy in meV/atom: -370

3.
Compound: CaCrAs2
Source: Alexandria
Functional: PBE
Structure: optimized geometry

```
8
Lattice="7.185 0.000 0.000 0.000 7.185 0.000 3.593 3.593 3.474" Properties=species:S:1:pos:R:3 pbc="T T T"
Ca 3.593 7.185 1.737
Ca 3.593 3.593 0.000
As 1.380 5.389 0.868
As 8.981 9.397 2.605
As 5.805 1.796 0.868
As 5.389 4.973 2.605
Cr 0.000 0.000 0.000
Cr 7.185 3.593 1.737
```

Computed properties:
Space group: I-42d
Offset from the most stable computed form in eV/f.u.: 0.87
DFT total energy in eV per atom: -5.5898
Calculated formation energy in meV/atom: -359

4.
Compound: CaCr2As
Source: Alexandria
Functional: PBE
Structure: optimized geometry

```
4
Lattice="-3.654 -2.136 -0.243 -0.123 -4.111 1.025 -2.325 -0.825 5.186" Properties=species:S:1:pos:R:3 pbc="T T T"
As -3.208 -3.351 3.711
Cr -4.589 -5.289 4.539
Cr -2.161 -1.017 4.433
Ca -1.518 -1.778 1.457
```

Computed properties:
Space group: R3m
DFT total energy in eV per atom: -6.6065
Calculated formation energy in meV/atom: -132

5.
Compound: CaCr4As
Source: Alexandria
Functional: PBE
Structure: optimized geometry

```
6
Lattice="-4.448 -1.660 1.542 -3.414 -1.458 -3.337 -1.150 -4.837 -0.443" Properties=species:S:1:pos:R:3 pbc="T T T"
Cr -5.584 -3.816 -0.087
Cr -3.964 -5.377 -1.062
Cr -5.076 -3.717 -2.484
Cr -3.399 -3.001 -0.844
Ca 0.000 0.000 0.000
As -6.759 -5.967 -1.679
```

Computed properties:
Space group: F-43m
DFT total energy in eV per atom: -6.9904
Calculated formation energy in meV/atom: 534

6.
Compound: CaCr2As
Source: Alexandria
Functional: PBE
Structure: optimized geometry

```
4
Lattice="4.187 0.855 0.000 -0.855 4.187 0.000 0.000 0.000 4.405" Properties=species:S:1:pos:R:3 pbc="T T T"
As 2.093 0.427 2.203
Cr 0.000 0.000 0.000
Cr 1.666 2.521 0.000
Ca -0.427 2.093 2.203
```

Computed properties:
Space group: P4/mmm
DFT total energy in eV per atom: -6.1786
Calculated formation energy in meV/atom: 296

7.
Compound: CaCrAs2
Source: Alexandria
Functional: PBE
Structure: optimized geometry

```
4
Lattice="3.136 0.016 0.000 -0.016 3.136 0.000 0.000 0.000 7.156" Properties=species:S:1:pos:R:3 pbc="T T T"
Ca 1.560 1.576 1.789
As 0.000 0.000 6.783
As 0.000 0.000 3.952
Cr 1.560 1.576 5.367
```

Computed properties:
Space group: P4/mmm
Offset from the most stable computed form in eV/f.u.: 1.11
DFT total energy in eV per atom: -5.5286
Calculated formation energy in meV/atom: -298

8.
Compound: CaCr2As
Source: Alexandria
Functional: PBE
Structure: optimized geometry

```
4
Lattice="-0.599 -1.496 4.512 2.504 -3.959 -1.002 1.642 4.479 -0.440" Properties=species:S:1:pos:R:3 pbc="T T T"
Cr 1.817 -5.203 3.347
Cr 0.993 0.141 2.904
As 1.033 -2.957 1.902
Ca 2.562 -1.141 0.180
```

Computed properties:
Space group: Imm2
DFT total energy in eV per atom: -6.3463
Calculated formation energy in meV/atom: 128

9.
Compound: CaCr2As2
Source: Alexandria
Functional: PBE
Structure: optimized geometry

```
5
Lattice="4.057 0.000 0.000 0.000 4.057 0.000 2.029 2.029 5.721" Properties=species:S:1:pos:R:3 pbc="T T T"
Cr 2.029 4.057 2.860
Cr 4.057 2.029 2.860
Ca 0.000 0.000 0.000
As 4.057 4.057 4.200
As 2.029 2.029 1.521
```

Computed properties:
Space group: I4/mmm
Offset from the most stable computed form in eV/f.u.: 0.00
DFT total energy in eV per atom: -6.5359
Calculated formation energy in meV/atom: -426

10.
Compound: CaCr2As
Source: Alexandria
Functional: PBE
Structure: optimized geometry

```
4
Lattice="-4.400 1.507 2.192 4.094 -1.987 3.581 1.358 2.476 1.080" Properties=species:S:1:pos:R:3 pbc="T T T"
Ca -0.153 -0.240 2.887
Cr -1.521 1.992 1.636
Cr 0.000 0.000 0.000
As 2.726 0.245 2.331
```

Computed properties:
Space group: C2/m
DFT total energy in eV per atom: -5.9779
Calculated formation energy in meV/atom: 497

11.
Compound: CaCrAs2
Source: Alexandria
Functional: PBE
Structure: optimized geometry

```
4
Lattice="-3.721 -1.935 -1.473 -0.815 -1.149 3.566 -3.260 4.230 2.678" Properties=species:S:1:pos:R:3 pbc="T T T"
As -3.469 2.532 5.433
As -2.814 -0.149 0.597
Cr -5.745 2.266 4.826
Ca -1.880 1.117 3.280
```

Computed properties:
Space group: Amm2
Offset from the most stable computed form in eV/f.u.: 0.78
DFT total energy in eV per atom: -5.6104
Calculated formation energy in meV/atom: -379

12.
Compound: CaCrAs
Source: Alexandria
Functional: PBE
Structure: optimized geometry

```
3
Lattice="-0.700 1.149 4.594 3.589 -0.402 3.142 2.038 3.930 1.822" Properties=species:S:1:pos:R:3 pbc="T T T"
As 2.463 2.338 4.779
Cr 0.000 0.000 0.000
Ca 3.695 3.507 7.169
```

Computed properties:
Space group: F-43m
DFT total energy in eV per atom: -5.1248
Calculated formation energy in meV/atom: 300